A relaxed La3FeBi crystal, computed with PBE-GGA.

abc: 5.2910 5.2910 5.2910
angles: 90.00 90.00 90.00
Fractional positions:
1 Fe 0.0000 0.0000 0.0000
2 Bi 0.5000 0.5000 0.5000
3 La 0.0000 0.5000 0.0000
4 La 0.0000 0.0000 0.5000
5 La 0.5000 0.0000 0.0000

Properties
- Space group: Pm-3m (221)
- Energy of formation from the pure elements: -9.96 kcal/mol of atoms
- N(E_F): 5.7 states/eV/f.u.
- Excess energy over the best structure of this formula in the dataset: 0 meV/atom
- Density: 7.641 Mg/m³

---

A relaxed La3FeBi crystal, computed with PBE-GGA.

abc: 15.5424 6.8684 6.8684
angles: 138.69 138.76 41.24
Fractional positions:
1 Fe 0.5823 0.0198 0.9802
2 Fe 0.4177 0.9802 0.0198
3 Bi 0.9455 0.9055 0.0945
4 Bi 0.0545 0.0945 0.9055
5 La 0.3762 0.6833 0.3167
6 La 0.6238 0.3167 0.6833
7 La 0.1766 0.2509 0.7491
8 La 0.8234 0.7491 0.2509
9 La 0.6695 0.5861 0.4139
10 La 0.3305 0.4139 0.5861

Properties
- Space group: C2/m (12)
- Energy of formation from the pure elements: -5.15 kcal/mol of atoms
- N(E_F): 3.0 states/eV/f.u.
- Excess energy over the best structure of this formula in the dataset: 209 meV/atom
- Density: 7.859 Mg/m³

---

A relaxed LaFeBi3 crystal, computed with PBE-GGA.

abc: 6.1016 6.1016 6.1016
angles: 90.00 90.00 90.00
Fractional positions:
1 Fe 0.5000 0.5000 0.5000
2 Bi 0.0000 0.5000 0.0000
3 Bi 0.0000 0.0000 0.5000
4 Bi 0.5000 0.0000 0.0000
5 La 0.0000 0.0000 0.0000

Properties
- Space group: Pm-3m (221)
- Energy of formation from the pure elements: 34.28 kcal/mol of atoms
- N(E_F): 13.7 states/eV/f.u.
- Excess energy over the best structure of this formula in the dataset: 1411 meV/atom
- Density: 6.007 Mg/m³

---

A relaxed LaFeBi3 crystal, computed with PBE-GGA.

abc: 5.2244 5.2244 5.2244
angles: 90.00 90.00 90.00
Fractional positions:
1 Fe 0.0000 0.0000 0.0000
2 Bi 0.0000 0.5000 0.0000
3 Bi 0.0000 0.0000 0.5000
4 Bi 0.5000 0.0000 0.0000
5 La 0.5000 0.5000 0.5000

Properties
- Space group: Pm-3m (221)
- Energy of formation from the pure elements: 1.75 kcal/mol of atoms
- N(E_F): 11.1 states/eV/f.u.
- Excess energy over the best structure of this formula in the dataset: 0 meV/atom
- Density: 9.568 Mg/m³

---

A relaxed La3FeBi crystal, computed with PBE-GGA.

abc: 14.2202 9.7941 9.7941
angles: 84.17 126.38 53.62
Fractional positions:
1 Fe 0.7500 0.2473 0.7473
2 Fe 0.2500 0.7527 0.2527
3 Fe 0.7500 0.4483 0.9483
4 Fe 0.2500 0.5517 0.0517
5 Bi 0.0675 0.4944 0.3227
6 Bi 0.4325 0.8227 0.9944
7 Bi 0.9325 0.5056 0.6773
8 Bi 0.5675 0.1773 0.0056
9 La 0.4234 0.3643 0.4921
10 La 0.0766 0.9921 0.8643
11 La 0.5766 0.6357 0.5079
12 La 0.9234 0.0079 0.1357
13 La 0.0580 0.2361 0.1256
14 La 0.4420 0.6256 0.7361
15 La 0.9420 0.7639 0.8744
16 La 0.5580 0.3744 0.2639
17 La 0.5640 0.8969 0.8325
18 La 0.9360 0.3325 0.3969
19 La 0.4360 0.1031 0.1675
20 La 0.0640 0.6675 0.6031

Properties
- Space group: C2/c (15)
- Energy of formation from the pure elements: -6.97 kcal/mol of atoms
- N(E_F): 4.4 states/eV/f.u.
- Excess energy over the best structure of this formula in the dataset: 129 meV/atom
- Density: 7.165 Mg/m³

---

A relaxed La3FeBi crystal, computed with PBE-GGA.

abc: 9.4749 9.4749 6.1985
angles: 90.00 90.00 138.12
Fractional positions:
1 Fe 0.4266 0.5734 0.2500
2 Fe 0.5734 0.4266 0.7500
3 Bi 0.1708 0.8292 0.2500
4 Bi 0.8292 0.1708 0.7500
5 La 0.0998 0.4216 0.2500
6 La 0.5784 0.9002 0.2500
7 La 0.4216 0.0998 0.7500
8 La 0.9002 0.5784 0.7500
9 La 0.0000 0.0000 0.0000
10 La 0.0000 0.0000 0.5000

Properties
- Space group: Cmcm (63)
- Energy of formation from the pure elements: 4.42 kcal/mol of atoms
- N(E_F): 3.3 states/eV/f.u.
- Excess energy over the best structure of this formula in the dataset: 624 meV/atom
- Density: 6.093 Mg/m³

---

A relaxed La3FeBi crystal, computed with PBE-GGA.

abc: 4.0059 8.9370 8.9370
angles: 130.89 90.00 90.00
Fractional positions:
1 Fe 0.0000 0.3955 0.6045
2 Bi 0.5000 0.1022 0.8978
3 La 0.5000 0.1903 0.3182
4 La 0.5000 0.6818 0.8097
5 La 0.0000 0.2582 0.7418

Properties
- Space group: Amm2 (38)
- Energy of formation from the pure elements: 5.14 kcal/mol of atoms
- N(E_F): 3.7 states/eV/f.u.
- Excess energy over the best structure of this formula in the dataset: 655 meV/atom
- Density: 4.679 Mg/m³